# HOsIO

An optimized crystal structure of HOsIO (PBE, Alexandria).

Output
D(E_F), states/eV/cell: 3.46
ρ, Mg/m³: 5.7
E, eV per atom: -5.3136

Cell lengths 3.728, 5.295, 5.751 Å; angles 66.36, 71.42, 89.98 degrees
Space group P1 (No. 1)
Symmetry-distinct sites (fractional):
H 0.000 0.000 0.000 [1 per cell]
Os 0.158 0.143 0.679 [1 per cell]
I 0.222 0.699 0.549 [1 per cell]
O 0.663 0.147 0.670 [1 per cell]